Rb2MoAs2O9: relaxed, PBE with a Hubbard U.

Summary:
M_tot in μB per formula unit: 0.000
Calculated volume in Å³/cell: 499.06
E in eV per atom: -6.046
SG: P-1, No. 2

a = 7.5986 Å, b = 7.6774 Å, c = 9.3303 Å
α = 110.31°, β = 102.08°, γ = 86.77°
Sites, in units of the cell vectors:
Rb: 0.9130 0.2802 0.6207
Rb: 0.1822 0.8265 0.8809
Rb: 0.0870 0.7198 0.3793
Rb: 0.8178 0.1735 0.1191
Mo: 0.4321 0.2432 0.7381
Mo: 0.5679 0.7568 0.2619
As: 0.3232 0.3345 0.0883
As: 0.6768 0.6655 0.9117
As: 0.6682 0.8235 0.6420
As: 0.3318 0.1765 0.3580
O: 0.7220 0.9438 0.3497
O: 0.4866 0.2477 0.5358
O: 0.2872 0.4313 0.7699
O: 0.7128 0.5687 0.2301
O: 0.6682 0.0603 0.7316
O: 0.3281 0.5716 0.1617
O: 0.5134 0.7523 0.4642
O: 0.5522 0.7343 0.7524
O: 0.3318 0.9397 0.2684
O: 0.1211 0.2320 0.0150
O: 0.8789 0.7680 0.9850
O: 0.8703 0.7296 0.6271
O: 0.4695 0.2412 0.9594
O: 0.4478 0.2657 0.2476
O: 0.2780 0.0562 0.6503
O: 0.6719 0.4284 0.8383
O: 0.1297 0.2704 0.3729
O: 0.5305 0.7588 0.0406